No. 1
The following is a DFT calculation (PBE-GGA) of a geometry-optimized Zn2PtI6 structure.

Raw formation energy (eV per atom): -0.369

a = 8.122 Å, b = 10.290 Å, c = 10.290 Å
α = 72.94°, β = 67.04°, γ = 67.04°
Fractional coordinates of all 18 atoms:
I 0.294 0.338 0.955
I 0.706 0.662 0.045
I 0.116 0.740 0.055
I 0.420 0.383 0.306
I 0.884 0.260 0.945
I 0.794 0.955 0.338
I 0.920 0.306 0.383
I 0.616 0.055 0.740
I 0.580 0.617 0.694
I 0.384 0.945 0.260
I 0.080 0.694 0.617
I 0.206 0.045 0.662
Zn 0.790 0.382 0.168
Zn 0.210 0.618 0.832
Zn 0.710 0.832 0.618
Zn 0.290 0.168 0.382
Pt 0.750 0.819 0.181
Pt 0.250 0.181 0.819

No. 2
The following is a DFT calculation (PBE-GGA) of a geometry-optimized ZrPt2I structure.

Polymorph energy (0 for the lowest one) (kJ/mol of atoms): 0.0
Raw formation energy (eV per atom): -0.070

a = 4.854 Å, b = 4.854 Å, c = 4.854 Å
α = 60.00°, β = 60.00°, γ = 60.00°
Fractional coordinates of all 4 atoms:
Pt 0.250 0.250 0.250
Pt 0.750 0.750 0.750
Zr 0.000 0.000 0.000
I 0.500 0.500 0.500

| no. | volume (Å³/atom) |
| --- | --- |
| 1 | 39.9 |
| 2 | 20.2 |